A relaxed structure of DyTm2CoSn3Ir2. Source: OQMD via LeMat-Bulk, functional PBE-GGA.

Output
Crystal system ... orthorhombic
Space-group type ... No. 38
Total moment ... 0.0 μB per formula unit
DFT total energy ... -6.3507 eV per atom

The structure in CIF format:
```
data_DyTm2CoSn3Ir2
_cell_length_a 3.721
_cell_length_b 7.546
_cell_length_c 7.546
_cell_angle_alpha 120.21
_cell_angle_beta 90.00
_cell_angle_gamma 90.00
_space_group_name_H-M_alt 'P 1'
_space_group_IT_number 1
loop_
_space_group_symop_operation_xyz
'x,y,z'
loop_
_atom_site_label
_atom_site_type_symbol
_atom_site_fract_x
_atom_site_fract_y
_atom_site_fract_z
Dy1 Dy 0.000 0.000 0.000
Tm1 Tm 0.000 0.405 0.810
Tm2 Tm 0.000 0.810 0.405
Co1 Co 0.000 0.406 0.406
Sn1 Sn 0.500 0.151 0.406
Sn2 Sn 0.500 0.406 0.151
Sn3 Sn 0.500 0.659 0.659
Ir1 Ir 0.500 0.073 0.736
Ir2 Ir 0.500 0.736 0.073
```


A relaxed structure of LiTcO4. Source: OQMD via LeMat-Bulk, functional PBE-GGA.

Output
Crystal system ... orthorhombic
Space-group type ... No. 35
Total moment ... 0.0 μB per formula unit
Relative energy among the computed polymorphs ... 111 meV per atom

The structure in CIF format:
```
data_LiTcO4
_cell_length_a 4.460
_cell_length_b 4.460
_cell_length_c 3.465
_cell_angle_alpha 90.00
_cell_angle_beta 90.00
_cell_angle_gamma 97.17
_space_group_name_H-M_alt 'P 1'
_space_group_IT_number 1
loop_
_space_group_symop_operation_xyz
'x,y,z'
loop_
_atom_site_label
_atom_site_type_symbol
_atom_site_fract_x
_atom_site_fract_y
_atom_site_fract_z
Li1 Li 0.000 0.000 0.000
Tc1 Tc 0.500 0.500 0.677
O1 O 0.232 0.232 0.458
O2 O 0.292 0.708 0.975
O3 O 0.708 0.292 0.975
O4 O 0.768 0.768 0.458
```


A relaxed structure of AlTcNiPd. Source: OQMD via LeMat-Bulk, functional PBE-GGA.

Output
Crystal system ... cubic
Space-group type ... No. 216
Total moment ... 1.4 μB per formula unit
Relative energy among the computed polymorphs ... 0 meV per atom

The structure in CIF format:
```
data_AlTcNiPd
_cell_length_a 4.278
_cell_length_b 4.278
_cell_length_c 4.278
_cell_angle_alpha 60.00
_cell_angle_beta 60.00
_cell_angle_gamma 60.00
_space_group_name_H-M_alt 'P 1'
_space_group_IT_number 1
loop_
_space_group_symop_operation_xyz
'x,y,z'
loop_
_atom_site_label
_atom_site_type_symbol
_atom_site_fract_x
_atom_site_fract_y
_atom_site_fract_z
Al1 Al 0.000 0.000 0.000
Tc1 Tc 0.750 0.750 0.750
Ni1 Ni 0.250 0.250 0.250
Pd1 Pd 0.500 0.500 0.500
```